[1]
! TiMoN3 (PBE, relaxed); values from VASP
&SYSTEM
  ibrav = 0, nat = 10, ntyp = 3
/
ATOMIC_SPECIES
N 14.01 N.upf
Ti 47.87 Ti.upf
Mo 95.94 Mo.upf
ATOMIC_POSITIONS crystal
N 0.974 0.384 0.250
N 0.026 0.616 0.750
N 0.384 0.974 0.750
N 0.616 0.026 0.250
N 0.000 0.000 0.500
N 0.000 0.000 0.000
Ti 0.858 0.142 0.750
Ti 0.142 0.858 0.250
Mo 0.559 0.441 0.750
Mo 0.441 0.559 0.250
CELL_PARAMETERS angstrom
1.807 -5.825 0.000
1.807 5.825 0.000
0.000 0.000 4.828
! - formation energy (no corrections) (meV/atom) = -248
! - calculated density (g cm⁻³) = 6.07
! - space group = Cmcm, No. 63
! - volume (Å³ per cell) = 101.6
! - M_tot (μB per cell) = 0.0

=====

[2]
! TiMo3N (PBE, relaxed); values from VASP
&SYSTEM
  ibrav = 0, nat = 5, ntyp = 3
/
ATOMIC_SPECIES
Mo 95.94 Mo.upf
N 14.01 N.upf
Ti 47.87 Ti.upf
ATOMIC_POSITIONS crystal
Mo 0.500 0.000 0.000
Mo 0.000 0.500 0.000
Mo 0.000 0.000 0.500
N 0.500 0.500 0.500
Ti 0.000 0.000 0.000
CELL_PARAMETERS angstrom
-1.248 -0.576 -4.314
-1.218 -4.263 0.922
-4.179 1.414 1.020
! - formation energy (no corrections) (meV/atom) = 2607
! - E above lowest polymorph (eV per atom) = 2.792
! - calculated density (g cm⁻³) = 6.25
! - space group = Pm-3m, No. 221
! - volume (Å³ per cell) = 92.8
! - M_tot (μB per cell) = 0.0

=====

[3]
! TiMoN3 (PBE, relaxed); values from VASP
&SYSTEM
  ibrav = 0, nat = 5, ntyp = 3
/
ATOMIC_SPECIES
N 14.01 N.upf
Ti 47.87 Ti.upf
Mo 95.94 Mo.upf
ATOMIC_POSITIONS crystal
N 0.628 0.628 0.105
N 0.105 0.628 0.628
N 0.628 0.105 0.628
Ti 0.941 0.941 0.941
Mo 0.573 0.573 0.573
CELL_PARAMETERS angstrom
3.211 0.000 2.492
-1.606 2.781 2.492
-1.606 -2.781 2.492
! - formation energy (no corrections) (meV/atom) = -243
! - calculated density (g cm⁻³) = 4.62
! - space group = R3m, No. 160
! - volume (Å³ per cell) = 66.8
! - M_tot (μB per cell) = 0.0

=====

[4]
! Ti4MoN4 (PBE, relaxed); values from VASP
&SYSTEM
  ibrav = 0, nat = 9, ntyp = 3
/
ATOMIC_SPECIES
N 14.01 N.upf
Ti 47.87 Ti.upf
Mo 95.94 Mo.upf
ATOMIC_POSITIONS crystal
N 0.696 0.202 0.407
N 0.304 0.798 0.593
N 0.897 0.407 0.798
N 0.103 0.593 0.202
Ti 0.604 0.589 0.202
Ti 0.396 0.411 0.798
Ti 0.193 0.202 0.411
Ti 0.807 0.798 0.589
Mo 0.000 0.000 0.000
CELL_PARAMETERS angstrom
3.954 0.000 1.585
1.942 4.724 0.879
0.220 -0.090 5.176
! - formation energy (no corrections) (meV/atom) = -1455
! - calculated density (g cm⁻³) = 6.00
! - space group = I4/m, No. 87
! - volume (Å³ per cell) = 95.1
! - M_tot (μB per cell) = 0.0

=====

[5]
! TiMoN3 (PBE, relaxed); values from VASP
&SYSTEM
  ibrav = 0, nat = 10, ntyp = 3
/
ATOMIC_SPECIES
Mo 95.94 Mo.upf
Ti 47.87 Ti.upf
N 14.01 N.upf
ATOMIC_POSITIONS crystal
Mo 0.000 0.000 0.000
Mo 0.000 0.000 0.500
Ti 0.333 0.667 0.750
Ti 0.667 0.333 0.250
N 0.000 0.000 0.750
N 0.333 0.667 0.581
N 0.333 0.667 0.919
N 0.000 0.000 0.250
N 0.667 0.333 0.081
N 0.667 0.333 0.419
CELL_PARAMETERS angstrom
2.779 -1.604 0.000
0.000 3.209 0.000
0.000 0.000 12.957
! - formation energy (no corrections) (meV/atom) = -429
! - calculated density (g cm⁻³) = 5.34
! - space group = P6_3/mmc, No. 194
! - volume (Å³ per cell) = 115.5
! - M_tot (μB per cell) = 1.9

=====

[6]
! TiMoN3 (PBE, relaxed); values from VASP
&SYSTEM
  ibrav = 0, nat = 20, ntyp = 3
/
ATOMIC_SPECIES
Mo 95.94 Mo.upf
N 14.01 N.upf
Ti 47.87 Ti.upf
ATOMIC_POSITIONS crystal
Mo 0.625 0.625 0.125
Mo 0.625 0.125 0.625
Mo 0.625 0.625 0.625
Mo 0.125 0.625 0.625
N 0.000 0.500 0.000
N 0.500 0.000 0.000
N 0.750 0.250 0.250
N 0.500 0.000 0.500
N 0.750 0.250 0.750
N 0.500 0.500 0.000
N 0.250 0.750 0.250
N 0.000 0.000 0.500
N 0.250 0.750 0.750
N 0.750 0.750 0.250
N 0.250 0.250 0.750
N 0.000 0.500 0.500
Ti 0.625 0.125 0.125
Ti 0.125 0.125 0.625
Ti 0.125 0.625 0.125
Ti 0.125 0.125 0.125
CELL_PARAMETERS angstrom
0.000 4.819 4.819
4.819 0.000 4.819
4.819 4.819 0.000
! - formation energy (no corrections) (meV/atom) = -46
! - calculated density (g cm⁻³) = 5.51
! - space group = Fd-3m, No. 227
! - volume (Å³ per cell) = 223.8
! - M_tot (μB per cell) = 0.0